No. 1
DFT (GGA-PBE) results for a relaxed Hg4SeSI2 crystal.

The structure belongs to space group Pmn2_1 (No. 31); the cell edges are 10.8992, 7.2740 and 7.3083 Å and the angles 90.00°, 90.00° and 90.00°. The inequivalent atoms are Hg at (0.0000, 0.0411, 0.0000), Hg at (0.0000, 0.9066, 0.4595), Hg at (0.2460, 0.7424, 0.8004), Se at (0.0000, 0.2372, 0.2876), S at (0.0000, 0.7850, 0.7889) and I at (0.2234, 0.7362, 0.3016).

The value obtained for the total moment is 0.00 μB/f.u. The energy relative to the elements, uncorrected is -0.13 eV per atom.


No. 2
DFT (GGA-PBE) results for a relaxed TcHgSI2 crystal.

The structure belongs to space group P4/mmm (No. 123); the cell edges are 5.7185, 5.7185 and 4.4147 Å and the angles 90.00°, 90.00° and 90.00°. The inequivalent atoms are Tc at (0.0000, 0.0000, 0.0000), Hg at (0.5000, 0.5000, 0.5000), S at (0.0000, 0.0000, 0.5000) and I at (0.0000, 0.5000, 0.0000).

The value obtained for the total moment is 0.74 μB/f.u. The density of states at the Fermi level comes out at 5.012 states/eV/f.u. The energy relative to the elements, uncorrected is 0.14 eV per atom.


No. 3
DFT (GGA-PBE) results for a relaxed HgTe2SI crystal.

The structure belongs to space group P4/mmm (No. 123); the cell edges are 5.6697, 5.6697 and 5.6242 Å and the angles 90.00°, 90.00° and 90.00°. The inequivalent atoms are Hg at (0.0000, 0.0000, 0.0000), Te at (0.0000, 0.5000, 0.0000), S at (0.5000, 0.5000, 0.5000) and I at (0.0000, 0.0000, 0.5000).

The value obtained for the total moment is 0.00 μB/f.u. The density of states at the Fermi level comes out at 7.939 states/eV/f.u. The energy relative to the elements, uncorrected is 0.93 eV per atom.


Final energy (computed, Ry per atom): -0.1191 -0.2526 -0.1116
Volume (computed, Å³ per cell): 579 144 181